[1]
{"formula": "Ba6Sr2Mg", "functional": "PBE", "state": "optimized geometry", "cell": [[-0.5310, -4.3690, 0.6755], [3.4664, -3.7472, -9.5465], [11.6388, -2.4844, -0.9367]], "species": ["Ba", "Ba", "Ba", "Ba", "Ba", "Ba", "Sr", "Sr", "Mg"], "frac_coords": [[0.1928, 0.8381, 0.6545], [0.8072, 0.1619, 0.3455], [0.3403, 0.3027, 0.0000], [0.1928, 0.4926, 0.3455], [0.8072, 0.5074, 0.6545], [0.6597, 0.6973, 0.0000], [0.5000, 0.8600, 0.2800], [0.5000, 0.1400, 0.7200], [0.0000, 0.0000, 0.0000]], "total_energy_ev_per_fu": -16.10, "vol_a3_per_atom": 56.18, "polymorph_energy_mev_per_atom": 0}

[2]
{"formula": "Ba6Sr3Mg", "functional": "PBE", "state": "optimized geometry", "cell": [[-0.1708, 1.1437, -7.7476], [-5.9985, -3.5576, 3.5672], [-4.9143, 9.8532, 1.5629]], "species": ["Ba", "Ba", "Ba", "Ba", "Ba", "Ba", "Sr", "Sr", "Sr", "Mg"], "frac_coords": [[0.6372, 0.6372, 0.8202], [0.0000, 0.3628, 0.8202], [0.3628, 0.0000, 0.8202], [0.0000, 0.6372, 0.1798], [0.3628, 0.3628, 0.1798], [0.6372, 0.0000, 0.1798], [0.0000, 0.0000, 0.5000], [0.6667, 0.3333, 0.5000], [0.3333, 0.6667, 0.5000], [0.0000, 0.0000, 0.0000]], "total_energy_ev_per_fu": -17.32, "vol_a3_per_atom": 59.10, "polymorph_energy_mev_per_atom": 72}

Please write out number 2 again, unchanged.
{"formula": "Ba6Sr3Mg", "functional": "PBE", "state": "optimized geometry", "cell": [[-0.1708, 1.1437, -7.7476], [-5.9985, -3.5576, 3.5672], [-4.9143, 9.8532, 1.5629]], "species": ["Ba", "Ba", "Ba", "Ba", "Ba", "Ba", "Sr", "Sr", "Sr", "Mg"], "frac_coords": [[0.6372, 0.6372, 0.8202], [0.0000, 0.3628, 0.8202], [0.3628, 0.0000, 0.8202], [0.0000, 0.6372, 0.1798], [0.3628, 0.3628, 0.1798], [0.6372, 0.0000, 0.1798], [0.0000, 0.0000, 0.5000], [0.6667, 0.3333, 0.5000], [0.3333, 0.6667, 0.5000], [0.0000, 0.0000, 0.0000]], "total_energy_ev_per_fu": -17.32, "vol_a3_per_atom": 59.10, "polymorph_energy_mev_per_atom": 72}

Question: Number 2 is which compound?
Answer: Ba6Sr3Mg